Entry from Alexandria via LeMat-Bulk: SmPa2CoO8 after structural relaxation (PBE+U).

Output
SG: P-3m1, No. 164
DOS(E_F) in states/eV per cell: 0.00
Total magnetization in μB/cell: 0.09
Theoretical density in g/cm³: 9.08
Total energy in eV/atom: -8.39

Geometry as extended XYZ:
```
12
Lattice="5.167 0.000 0.000 -2.583 4.475 0.000 0.000 0.000 6.321" Properties=species:S:1:pos:R:3 pbc="T T T"
O 2.583 2.975 5.223
O 3.868 0.750 5.223
O 0.000 1.499 1.098
Pa 2.583 1.492 0.835
Co 0.000 0.000 0.000
Pa 0.000 2.983 5.485
O -1.285 3.725 1.098
O 1.298 0.750 5.223
O 0.000 2.983 3.571
Sm 0.000 0.000 3.160
O 2.583 1.492 2.750
O 1.285 3.725 1.098
```